[1]
Below is an optimized crystal structure of Rb2SeBr7, with properties calculated at the PBE level.

Cell lengths 7.8641, 7.8641, 11.9476 Å; angles 90.00, 90.00, 90.00 degrees
With the nearest neighbours (Å) after each atom.
Space group I4/mmm (No. 139)
Symmetry-distinct sites (fractional):
Rb 0.0000 0.5000 0.2500 x4  12 Br 3.95-4.08
Se 0.0000 0.0000 0.0000 x2  6 Br 2.61-2.64
Br 0.0000 0.0000 0.2185 x4  1 Se 2.61
Br 0.0000 0.0000 0.5000 x2  4 Br 2.92
Br 0.2370 0.2370 0.0000 x8  1 Se 2.64, 1 Br 2.92


[2]
Below is an optimized crystal structure of RbSe2Br, with properties calculated at the PBE level.

Cell lengths 4.5342, 4.5342, 28.6018 Å; angles 90.00, 90.00, 120.00 degrees
With the nearest neighbours (Å) after each atom.
Space group R-3m (No. 166, hexagonal axes)
Symmetry-distinct sites (fractional):
Rb 0.0000 0.0000 0.0000 x3  6 Se 3.48
Se 0.0000 0.0000 0.4134 x6  1 Br 2.48
Br 0.0000 0.0000 0.5000 x3  2 Se 2.48

Values from the calculation:
E above lowest polymorph in meV/atom: 831.0


[3]
Below is an optimized crystal structure of RbSe2Br, with properties calculated at the PBE level.

Cell lengths 8.0896, 8.0896, 8.0896 Å; angles 90.00, 90.00, 90.00 degrees
With the nearest neighbours (Å) after each atom.
Space group Fm-3m (No. 225)
Symmetry-distinct sites (fractional):
Rb 0.0000 0.0000 0.0000 x4  8 Se 3.50
Se 0.2500 0.2500 0.2500 x8  4 Br 3.50, 4 Rb 3.50
Br 0.0000 0.0000 0.5000 x4  8 Se 3.50

Values from the calculation:
E above lowest polymorph in meV/atom: 1016.5


Going through the records in order, we get raw total energy values of -2.4554; -2.3950; -2.2096 eV per atom.
Going through the records in order, we get V values of 739; 509; 529 Å³/cell.
Going through the records in order, we get ΔE_f (raw) values of -716; 3; 74 kJ/mol of formula units.